Entry 1:
# Pr2NpOs2 PBE optimized geometry
data_Pr2NpOs2
_chemical_formula_sum 'Pr4 Np2 Os4'
_symmetry_space_group_name_H-M 'P 1'
_symmetry_Int_Tables_number 1
_cell_length_a 5.8459
_cell_length_b 5.8459
_cell_length_c 8.0948
_cell_angle_alpha 98.55
_cell_angle_beta 98.55
_cell_angle_gamma 62.33
loop_
_symmetry_equiv_pos_as_xyz
'x,y,z'
loop_
_atom_site_label
_atom_site_fract_x
_atom_site_fract_y
_atom_site_fract_z
_atom_site_occupancy
Pr1 0.0207 0.2790 0.1513 1
Pr2 0.2790 0.0207 0.6513 1
Pr3 0.7210 0.9793 0.3487 1
Pr4 0.9793 0.7210 0.8487 1
Np1 0.3773 0.6227 0.2500 1
Np2 0.6227 0.3773 0.7500 1
Os1 0.2386 0.5004 0.4925 1
Os2 0.5004 0.2386 0.9925 1
Os3 0.4996 0.7614 0.0075 1
Os4 0.7614 0.4996 0.5075 1
# - space group = C2/c, No. 15
# - E (Ry/atom) = -0.6633
# - total magnetic moment (μB/f.u.) = 2.955
# - calculated formation energy (kJ per mole of atoms) = -3

=====

Entry 2:
# PrNpOs PBE optimized geometry
data_PrNpOs
_chemical_formula_sum 'Pr4 Np4 Os4'
_symmetry_space_group_name_H-M 'P 1'
_symmetry_Int_Tables_number 1
_cell_length_a 12.4951
_cell_length_b 11.9734
_cell_length_c 5.0211
_cell_angle_alpha 84.06
_cell_angle_beta 72.38
_cell_angle_gamma 23.56
loop_
_symmetry_equiv_pos_as_xyz
'x,y,z'
loop_
_atom_site_label
_atom_site_fract_x
_atom_site_fract_y
_atom_site_fract_z
_atom_site_occupancy
Pr1 0.0445 0.7055 0.0445 1
Pr2 0.2945 0.9555 0.2945 1
Pr3 0.7055 0.0445 0.7055 1
Pr4 0.9555 0.2945 0.9555 1
Np1 0.9997 0.9997 0.2503 1
Np2 0.0003 0.0003 0.7497 1
Np3 0.2503 0.2503 0.9997 1
Np4 0.7497 0.7497 0.0003 1
Os1 0.3139 0.3139 0.4361 1
Os2 0.4361 0.4361 0.3139 1
Os3 0.5639 0.5639 0.6861 1
Os4 0.6861 0.6861 0.5639 1
# - space group = Fddd, No. 70
# - E (Ry/atom) = -0.6620
# - total magnetic moment (μB/f.u.) = 0.000
# - calculated formation energy (kJ per mole of atoms) = 62

=====

Entry 3:
# NpOs2Pt PBE optimized geometry
data_NpOs2Pt
_chemical_formula_sum 'Np1 Os2 Pt1'
_symmetry_space_group_name_H-M 'P 1'
_symmetry_Int_Tables_number 1
_cell_length_a 4.1192
_cell_length_b 4.1192
_cell_length_c 3.8906
_cell_angle_alpha 90.00
_cell_angle_beta 90.00
_cell_angle_gamma 90.00
loop_
_symmetry_equiv_pos_as_xyz
'x,y,z'
loop_
_atom_site_label
_atom_site_fract_x
_atom_site_fract_y
_atom_site_fract_z
_atom_site_occupancy
Np1 0.0000 0.0000 0.0000 1
Os1 0.0000 0.5000 0.5000 1
Os2 0.5000 0.0000 0.5000 1
Pt1 0.5000 0.5000 0.0000 1
# - space group = P4/mmm, No. 123
# - E (Ry/atom) = -0.7700
# - total magnetic moment (μB/f.u.) = 1.287
# - calculated formation energy (kJ per mole of atoms) = -11

=====

Entry 4:
# NpOsPt PBE optimized geometry
data_NpOsPt
_chemical_formula_sum 'Np2 Os2 Pt2'
_symmetry_space_group_name_H-M 'P 1'
_symmetry_Int_Tables_number 1
_cell_length_a 7.0668
_cell_length_b 7.0668
_cell_length_c 7.0668
_cell_angle_alpha 145.26
_cell_angle_beta 145.26
_cell_angle_gamma 49.95
loop_
_symmetry_equiv_pos_as_xyz
'x,y,z'
loop_
_atom_site_label
_atom_site_fract_x
_atom_site_fract_y
_atom_site_fract_z
_atom_site_occupancy
Np1 0.1512 0.1512 0.0000 1
Np2 0.8488 0.8488 0.0000 1
Os1 0.0000 0.5000 0.5000 1
Os2 0.5000 0.0000 0.5000 1
Pt1 0.3620 0.3620 0.0000 1
Pt2 0.6380 0.6380 0.0000 1
# - space group = I4/mmm, No. 139
# - E (Ry/atom) = -0.7507
# - total magnetic moment (μB/f.u.) = 2.481
# - calculated formation energy (kJ per mole of atoms) = -14

=====

Entry 5:
# PuNpOsPt PBE optimized geometry
data_PuNpOsPt
_chemical_formula_sum 'Pu1 Np1 Os1 Pt1'
_symmetry_space_group_name_H-M 'P 1'
_symmetry_Int_Tables_number 1
_cell_length_a 4.8575
_cell_length_b 4.8575
_cell_length_c 4.8575
_cell_angle_alpha 60.00
_cell_angle_beta 60.00
_cell_angle_gamma 60.00
loop_
_symmetry_equiv_pos_as_xyz
'x,y,z'
loop_
_atom_site_label
_atom_site_fract_x
_atom_site_fract_y
_atom_site_fract_z
_atom_site_occupancy
Pu1 0.0000 0.0000 0.0000 1
Np1 0.5000 0.5000 0.5000 1
Os1 0.7500 0.7500 0.7500 1
Pt1 0.2500 0.2500 0.2500 1
# - space group = F-43m, No. 216
# - E (Ry/atom) = -0.8325
# - total magnetic moment (μB/f.u.) = 8.249
# - calculated formation energy (kJ per mole of atoms) = -18

=====

Entry 6:
# Np2Si4OsPt3 PBE optimized geometry
data_Np2Si4OsPt3
_chemical_formula_sum 'Np2 Si4 Os1 Pt3'
_symmetry_space_group_name_H-M 'P 1'
_symmetry_Int_Tables_number 1
_cell_length_a 4.1674
_cell_length_b 4.1674
_cell_length_c 9.9236
_cell_angle_alpha 90.00
_cell_angle_beta 90.00
_cell_angle_gamma 90.00
loop_
_symmetry_equiv_pos_as_xyz
'x,y,z'
loop_
_atom_site_label
_atom_site_fract_x
_atom_site_fract_y
_atom_site_fract_z
_atom_site_occupancy
Np1 0.0000 0.5000 0.2476 1
Np2 0.5000 0.0000 0.7524 1
Si1 0.0000 0.0000 0.0000 1
Si2 0.0000 0.5000 0.6320 1
Si3 0.5000 0.0000 0.3680 1
Si4 0.5000 0.5000 0.0000 1
Os1 0.0000 0.0000 0.5000 1
Pt1 0.0000 0.5000 0.8748 1
Pt2 0.5000 0.0000 0.1252 1
Pt3 0.5000 0.5000 0.5000 1
# - space group = P-4m2, No. 115
# - E (Ry/atom) = -0.6160
# - total magnetic moment (μB/f.u.) = 7.644

=====

no.,density of states at the Fermi level (states/eV/cell)
1,15.536
2,22.528
3,6.354
4,16.818
5,12.615
6,22.150